No. 1
This record from the Alexandria database describes a relaxed LiTm2Hg4 crystal. The functional is PBE.

Calculated values
As for the total energy: -42.3 eV for the cell shown.

Lattice parameters (Å, degrees): 4.8792 4.8792 25.0641 90.00 90.00 120.00
With the nearest neighbours (Å) after each atom.
Space group R-3m (No. 166, hexagonal axes)
Unique sites:
Li 0.0000 0.0000 0.0000  8 Hg 2.97-3.20
Tm 0.0000 0.0000 0.2498  8 Hg 3.03-3.06
Hg 0.0000 0.0000 0.1279  4 Tm 3.03-3.06, 1 Li 3.20
Hg 0.0000 0.0000 0.3711  3 Li 2.97, 4 Tm 3.04



No. 2
This record from the Alexandria database describes a relaxed Ac2PaOsO8 crystal. The functional is PBE.

Calculated values
The value obtained for the formation energy (no corrections) is -2605 meV/atom.

Lattice parameters (Å, degrees): 4.4099 7.4030 5.6073 90.00 96.29 90.00
With the nearest neighbours (Å) after each atom.
Space group P2/m (No. 10)
Unique sites:
Ac 0.0000 0.2404 0.0000  6 O 2.44-2.61
Pa 0.5000 0.5000 0.5000  6 O 2.13-2.32
Os 0.5000 0.0000 0.5000  2 O 1.85
O 0.0854 0.5000 0.2676  1 Pa 2.13
O 0.1325 0.0000 0.3059  1 Os 1.85
O 0.4302 0.2384 0.7141  1 Os 2.18, 1 Pa 2.32



No. 3
This record from the Alexandria database describes a relaxed Ca2InCu12Ni3 crystal. The functional is PBE.

Calculated values
As for the total energy: -212.6 eV for the cell shown.

Lattice parameters (Å, degrees): 8.5951 8.5951 12.2656 90.00 90.00 120.00
With the nearest neighbours (Å) after each atom.
Space group R-3m (No. 166, hexagonal axes)
Unique sites:
Ca 0.0000 0.0000 0.2360  3 Ni 2.75, 9 Cu 2.81-3.02
In 0.0000 0.0000 0.5000  6 Cu 2.51
Cu 0.0026 0.5013 0.2053  5 Cu 2.39-2.64, 1 In 2.51, 1 Ni 2.52
Cu 0.0401 0.5201 0.6013  4 Cu 2.39-2.56
Ni 0.0000 0.5000 0.0000  6 Cu 2.52-2.76, 2 Ca 2.75



No. 4
This record from the Alexandria database describes a relaxed ZnCu2I6 crystal. The functional is PBE.

Calculated values
The value obtained for the formation energy (no corrections) is -219 meV/atom.

Lattice parameters (Å, degrees): 15.5922 14.4070 7.3098 90.00 117.89 90.00
With the nearest neighbours (Å) after each atom.
Space group C2/c (No. 15)
Unique sites:
Zn 0.0000 0.2496 0.2500  4 I 2.63
Cu 0.2503 0.0752 0.4010  4 I 2.55-2.60
I 0.0973 0.1519 0.1043  1 Cu 2.60, 1 Zn 2.63
I 0.0969 0.3471 0.5900  1 Cu 2.60, 1 Zn 2.63
I 0.2494 0.4141 0.2509  2 Cu 2.55-2.57



No. 5
This record from the Alexandria database describes a relaxed HfMg6Sb crystal. The functional is PBE.

Calculated values
The value obtained for the formation energy (no corrections) is -12 meV/atom.

Lattice parameters (Å, degrees): 5.0446 6.5146 10.8998 90.00 90.00 90.00
With the nearest neighbours (Å) after each atom.
Space group Amm2 (No. 38)
Unique sites:
Hf 0.0000 0.0000 0.0000  2 Sb 3.05, 10 Mg 3.14-3.26
Mg 0.0000 0.0000 0.5051  10 Mg 3.11-3.18, 2 Hf 3.26
Mg 0.0000 0.2387 0.2503  8 Mg 3.08-3.40, 2 Hf 3.14-3.21, 2 Sb 3.20
Mg 0.5000 0.0000 0.3376  10 Mg 3.11-3.19, 2 Sb 3.26
Mg 0.5000 0.2460 0.5879  8 Mg 3.08-3.31, 2 Sb 3.14-3.21, 2 Hf 3.16
Sb 0.5000 0.0000 0.8426  2 Hf 3.05, 10 Mg 3.14-3.26



No. 6
This record from the Alexandria database describes a relaxed ScPt3Au crystal. The functional is PBE.

Calculated values
As for the total energy: -24.3 eV for the cell shown.

Lattice parameters (Å, degrees): 4.7719 4.7719 4.7719 90.00 90.00 90.00
With the nearest neighbours (Å) after each atom.
Space group Pm-3m (No. 221)
Unique sites:
Sc 0.0000 0.0000 0.0000  6 Pt 2.39
Pt 0.0000 0.0000 0.5000  2 Sc 2.39
Au 0.5000 0.5000 0.5000  12 Pt 3.37



No. 7
This record from the Alexandria database describes a relaxed Ca4Tb3PmSe8 crystal. The functional is PBE.

Calculated values
The value obtained for the formation energy (no corrections) is -1888 meV/atom.

Lattice parameters (Å, degrees): 8.2550 8.2550 20.6432 90.00 90.00 120.00
With the nearest neighbours (Å) after each atom.
Space group R-3m (No. 166, hexagonal axes)
Unique sites:
Ca 0.0000 0.0000 0.0000  6 Se 2.92
Ca 0.0000 0.5000 0.0000  6 Se 2.95
Tb 0.0000 0.5000 0.5000  6 Se 2.92-2.93
Pm 0.0000 0.0000 0.5000  6 Se 2.96
Se 0.0000 0.0000 0.2488  3 Tb 2.92, 3 Ca 2.95
Se 0.0043 0.5021 0.7501  3 Ca 2.92-2.95, 2 Tb 2.93, 1 Pm 2.96



No. 8
This record from the Alexandria database describes a relaxed AcCeTe2 crystal. The functional is PBE.

Calculated values
The value obtained for the formation energy (no corrections) is -1424 meV/atom.

Lattice parameters (Å, degrees): 4.5875 4.5875 22.9101 90.00 90.00 120.00
With the nearest neighbours (Å) after each atom.
Space group R-3m (No. 166, hexagonal axes)
Unique sites:
Ac 0.0000 0.0000 0.0000  6 Te 3.33
Ce 0.0000 0.0000 0.5000  6 Te 3.20
Te 0.0000 0.0000 0.2451  3 Ce 3.20, 3 Ac 3.33



No. 9
This record from the Alexandria database describes a relaxed In2AuCl crystal. The functional is PBE.

Calculated values
The value obtained for the formation energy (no corrections) is -370 meV/atom.

Lattice parameters (Å, degrees): 3.6932 3.6244 7.7749 90.00 90.64 90.00
With the nearest neighbours (Å) after each atom.
Space group P2/m (No. 10)
Unique sites:
In 0.0035 0.0000 0.2053  2 Cl 2.92, 4 Au 3.04, 1 In 3.19
Au 0.5000 0.5000 0.0000  8 In 3.04
Cl 0.0000 0.5000 0.5000  4 In 2.92